# 1
A plane-wave DFT calculation with PBE-GGA was carried out for a relaxed structure of TlCu2Si2.

```
data_TlCu2Si2
_chemical_formula_sum 'Tl2 Cu4 Si4'
_cell_length_a 4.0754
_cell_length_b 4.0754
_cell_length_c 10.2665
_cell_angle_alpha 90.00
_cell_angle_beta 90.00
_cell_angle_gamma 90.00
_symmetry_space_group_name_H-M 'I 4/m m m'
_symmetry_Int_Tables_number 139
_symmetry_space_group_name_Hall '-I 4 2'
loop_
_atom_site_label
_atom_site_type_symbol
_atom_site_fract_x
_atom_site_fract_y
_atom_site_fract_z
_atom_site_occupancy
Tl1 Tl 0.0000 0.0000 0.0000 1
Cu1 Cu 0.0000 0.5000 0.2500 1
Si1 Si 0.0000 0.0000 0.3802 1
```

Calculated values
E, eV per atom: -4.091
Total magnetization, μB/f.u.: 0.0
D(E_F), states/eV/f.u.: 2.291
ΔE_f (raw), eV/atom: 0.190

# 2
A plane-wave DFT calculation with PBE-GGA was carried out for a relaxed structure of TlCu2Si.

```
data_TlCu2Si
_chemical_formula_sum 'Tl1 Cu2 Si1'
_cell_length_a 3.1697
_cell_length_b 3.1697
_cell_length_c 6.8797
_cell_angle_alpha 90.00
_cell_angle_beta 90.00
_cell_angle_gamma 90.00
_symmetry_space_group_name_H-M 'P 4 m m'
_symmetry_Int_Tables_number 99
_symmetry_space_group_name_Hall 'P 4 -2'
loop_
_atom_site_label
_atom_site_type_symbol
_atom_site_fract_x
_atom_site_fract_y
_atom_site_fract_z
_atom_site_occupancy
Tl1 Tl 0.0000 0.0000 0.0000 1
Cu1 Cu 0.0000 0.0000 0.4804 1
Cu2 Cu 0.5000 0.5000 0.2925 1
Si1 Si 0.5000 0.5000 0.6443 1
```

Calculated values
E, eV per atom: -3.704
Total magnetization, μB/f.u.: 0.0
D(E_F), states/eV/f.u.: 1.131
ΔE_f (raw), eV/atom: 0.291

# 3
A plane-wave DFT calculation with PBE-GGA was carried out for a relaxed structure of TlCu2Si.

```
data_TlCu2Si
_chemical_formula_sum 'Tl3 Cu6 Si3'
_cell_length_a 3.1530
_cell_length_b 3.1530
_cell_length_c 24.3980
_cell_angle_alpha 90.00
_cell_angle_beta 90.00
_cell_angle_gamma 120.00
_symmetry_space_group_name_H-M 'R 3 m'
_symmetry_Int_Tables_number 160
_symmetry_space_group_name_Hall 'R 3 -2"'
loop_
_atom_site_label
_atom_site_type_symbol
_atom_site_fract_x
_atom_site_fract_y
_atom_site_fract_z
_atom_site_occupancy
Tl1 Tl 0.0000 0.0000 0.0000 1
Cu1 Cu 0.0000 0.0000 0.2427 1
Cu2 Cu 0.0000 0.0000 0.5049 1
Si1 Si 0.0000 0.0000 0.7732 1
```

Calculated values
E, eV per atom: -3.581
Total magnetization, μB/f.u.: 0.0
D(E_F), states/eV/f.u.: 1.960
ΔE_f (raw), eV/atom: 0.414

# 4
A plane-wave DFT calculation with PBE-GGA was carried out for a relaxed structure of TlCu2Si.

```
data_TlCu2Si
_chemical_formula_sum 'Tl2 Cu4 Si2'
_cell_length_a 7.9534
_cell_length_b 3.3807
_cell_length_c 5.6805
_cell_angle_alpha 90.00
_cell_angle_beta 105.63
_cell_angle_gamma 90.00
_symmetry_space_group_name_H-M 'C 1 m 1'
_symmetry_Int_Tables_number 8
_symmetry_space_group_name_Hall 'C -2y'
loop_
_atom_site_label
_atom_site_type_symbol
_atom_site_fract_x
_atom_site_fract_y
_atom_site_fract_z
_atom_site_occupancy
Tl1 Tl 0.0000 0.0000 0.0000 1
Cu1 Cu 0.2187 0.0000 0.6755 1
Cu2 Cu 0.4806 0.0000 0.4694 1
Si1 Si 0.2639 0.5000 0.4039 1
```

Calculated values
E, eV per atom: -3.756
Total magnetization, μB/f.u.: 0.0
D(E_F), states/eV/f.u.: 1.267
ΔE_f (raw), eV/atom: 0.239